[1]
Na4Tb3GaS8 | GGA-PBE | relaxed Values from VASP.

```
&SYSTEM
  ibrav = 0, nat = 16, ntyp = 4
/
ATOMIC_SPECIES
Na 22.99 Na.upf
Tb 158.93 Tb.upf
Ga 69.72 Ga.upf
S 32.06 S.upf
CELL_PARAMETERS angstrom
7.848 0.000 0.000
0.000 8.087 0.154
-3.924 -3.921 5.557
ATOMIC_POSITIONS angstrom
Na 3.924 0.000 0.000
Na 1.962 -1.961 2.779
Na 0.000 0.000 0.000
Na -1.962 -1.961 2.779
Tb 3.924 4.043 0.077
Tb 1.962 2.083 2.856
Tb -1.962 2.083 2.856
Ga 0.000 4.043 0.077
S -2.078 1.942 5.613
S 0.000 4.017 2.686
S 0.000 0.176 2.899
S 2.078 1.942 5.613
S 1.846 2.223 0.099
S 3.924 3.989 2.813
S 3.924 0.149 3.025
S 6.002 2.223 0.099
```

E_form (uncorrected): -1.546 eV/atom
Crystal system: monoclinic



[2]
Na2TbGaS4 | GGA-PBE | relaxed Values from VASP.

```
&SYSTEM
  ibrav = 0, nat = 16, ntyp = 4
/
ATOMIC_SPECIES
Na 22.99 Na.upf
Tb 158.93 Tb.upf
Ga 69.72 Ga.upf
S 32.06 S.upf
CELL_PARAMETERS angstrom
7.833 -0.048 -0.199
-0.053 7.833 -0.199
-3.976 -3.979 5.704
ATOMIC_POSITIONS angstrom
Na 3.916 -0.024 -0.099
Na 1.928 -2.013 2.753
Na -1.988 -1.989 2.852
Na 3.890 3.892 -0.199
Tb -0.027 3.916 -0.099
Tb 5.818 1.879 2.554
Ga 1.902 1.903 2.653
Ga 3.857 -4.027 5.505
S -2.158 1.941 5.475
S 3.816 0.033 2.684
S -0.012 3.773 2.623
S 5.962 1.865 -0.168
S 2.030 2.003 5.182
S 3.703 3.678 2.778
S 0.100 0.128 2.529
S 1.774 1.803 0.124
```

E_form (uncorrected): -1.266 eV/atom
Crystal system: orthorhombic



[3]
Na2GaTeS4 | GGA-PBE | relaxed Values from VASP.

```
&SYSTEM
  ibrav = 0, nat = 8, ntyp = 4
/
ATOMIC_SPECIES
Na 22.99 Na.upf
Ga 69.72 Ga.upf
Te 127.60 Te.upf
S 32.06 S.upf
CELL_PARAMETERS angstrom
6.714 -0.310 -0.931
-0.316 4.672 -0.463
-4.057 -2.633 7.162
ATOMIC_POSITIONS angstrom
Na -0.280 -2.395 6.204
Na -1.363 -0.714 2.922
Ga -3.848 -0.163 6.728
Te 1.647 1.903 2.626
S 0.993 0.220 4.612
S -0.804 1.549 1.428
S 1.936 3.607 0.646
S -2.695 -1.495 5.238
```

E_form (uncorrected): -0.604 eV/atom
Crystal system: triclinic
DOS(E_F): 0.97 states/eV/cell